Here is Hg6Pd12Au after structural relaxation from Alexandria via LeMat-Bulk. Energies are from PBE-GGA.

**Raw total energy**: -3.57 eV/atom

Unit cell a=7.191 b=7.191 c=7.191 alpha=102.59 beta=102.59 gamma=102.59
Sites, in units of the cell vectors:
1 Pd 0.413 0.412 0.814
2 Pd 0.259 0.741 0.000
3 Pd 0.186 0.587 0.588
4 Pd 0.814 0.413 0.412
5 Pd 0.412 0.814 0.413
6 Pd 0.588 0.186 0.587
7 Pd 0.741 0.259 0.000
8 Pd 0.741 0.000 0.259
9 Pd 0.000 0.741 0.259
10 Pd 0.000 0.259 0.741
11 Pd 0.587 0.588 0.186
12 Pd 0.259 0.000 0.741
13 Hg 0.433 0.168 0.167
14 Hg 0.833 0.567 0.832
15 Hg 0.168 0.167 0.433
16 Hg 0.832 0.833 0.567
17 Hg 0.167 0.433 0.168
18 Hg 0.567 0.832 0.833
19 Au 0.000 0.000 0.000

=====

Here is ErThMg2Au4 after structural relaxation from Alexandria via LeMat-Bulk. Energies are from PBE-GGA.

**Raw total energy**: -4.26 eV/atom

Unit cell a=4.870 b=4.870 c=8.885 alpha=74.10 beta=74.10 gamma=60.00
Sites, in units of the cell vectors:
1 Mg 0.755 0.755 0.736
2 Mg 0.245 0.245 0.264
3 Th 0.000 0.000 0.000
4 Au 0.876 0.876 0.373
5 Au 0.124 0.124 0.627
6 Au 0.616 0.616 0.151
7 Au 0.384 0.384 0.849
8 Er 0.500 0.500 0.500

=====

Here is CeBi2S4 after structural relaxation from Alexandria via LeMat-Bulk. Energies are from PBE-GGA.

**Raw total energy**: -5.13 eV/atom
**Formation energy from raw total energies**: -0.82 eV per atom

Unit cell a=3.818 b=7.572 c=13.095 alpha=90.00 beta=90.00 gamma=104.60
Sites, in units of the cell vectors:
1 S 0.025 0.049 0.250
2 S 0.795 0.589 0.121
3 S 0.975 0.951 0.750
4 S 0.500 0.000 0.000
5 S 0.500 0.000 0.500
6 S 0.205 0.411 0.621
7 S 0.205 0.411 0.879
8 S 0.795 0.589 0.379
9 Ce 0.614 0.227 0.750
10 Ce 0.386 0.773 0.250
11 Bi 0.869 0.737 0.570
12 Bi 0.869 0.737 0.930
13 Bi 0.131 0.263 0.070
14 Bi 0.131 0.263 0.430

=====

Here is MgIn4Pd5 after structural relaxation from Alexandria via LeMat-Bulk. Energies are from PBE-GGA.

**Raw total energy**: -4.40 eV/atom

Unit cell a=3.284 b=3.284 c=16.319 alpha=90.00 beta=90.00 gamma=90.00
Sites, in units of the cell vectors:
1 Pd 0.500 0.500 0.904
2 Pd 0.500 0.500 0.500
3 Pd 0.500 0.500 0.297
4 Pd 0.500 0.500 0.096
5 Pd 0.500 0.500 0.703
6 In 0.000 0.000 0.602
7 In 0.000 0.000 0.195
8 In 0.000 0.000 0.398
9 In 0.000 0.000 0.805
10 Mg 0.000 0.000 0.000

=====

Here is NaY2Th after structural relaxation from Alexandria via LeMat-Bulk. Energies are from PBE-GGA.

**Raw total energy**: -5.32 eV/atom

Unit cell a=3.584 b=3.584 c=10.450 alpha=90.00 beta=90.00 gamma=90.00
Sites, in units of the cell vectors:
1 Th 0.500 0.500 0.000
2 Y 0.000 0.000 0.774
3 Y 0.000 0.000 0.226
4 Na 0.500 0.500 0.500

=====

Here is Li2CuHAu after structural relaxation from Alexandria via LeMat-Bulk. Energies are from PBE-GGA.

**Raw total energy**: -3.22 eV/atom
**Offset from the most stable computed form**: 0.0000 eV/atom

Unit cell a=3.990 b=3.990 c=3.627 alpha=90.00 beta=90.00 gamma=90.00
Sites, in units of the cell vectors:
1 H 0.000 0.000 0.000
2 Li 0.000 0.500 0.000
3 Li 0.500 0.000 0.000
4 Cu 0.000 0.000 0.500
5 Au 0.500 0.500 0.500